# 1
! GGA-PBEsol CdCu2Os, relaxed; values from VASP
&SYSTEM
  ibrav = 0, nat = 8, ntyp = 3
/
ATOMIC_SPECIES
Cd 112.41 Cd.upf
Cu 63.55 Cu.upf
Os 190.23 Os.upf
CELL_PARAMETERS angstrom
3.735 0.000 0.000
0.000 3.735 0.000
0.000 0.000 8.004
ATOMIC_POSITIONS angstrom
Cd 0.000 0.000 0.000
Cd 1.867 1.867 4.002
Cu 0.000 0.000 4.002
Cu 0.000 1.867 2.001
Cu 1.867 0.000 6.003
Cu 1.867 1.867 0.000
Os 0.000 1.867 6.003
Os 1.867 0.000 2.001
! DOS(E_F) (states/eV/f.u.): 1.8
! M_tot (μB/f.u.): 0.00
! DFT formation energy (eV/atom): 0.548

---

# 2
! GGA-PBEsol CdCu2Os, relaxed; values from VASP
&SYSTEM
  ibrav = 0, nat = 8, ntyp = 3
/
ATOMIC_SPECIES
Cd 112.41 Cd.upf
Cu 63.55 Cu.upf
Os 190.23 Os.upf
CELL_PARAMETERS angstrom
4.032 0.000 0.000
0.000 4.032 0.000
0.000 0.000 6.814
ATOMIC_POSITIONS angstrom
Cd 0.000 0.000 0.000
Cd 2.016 2.016 3.407
Cu 0.000 2.016 1.703
Cu 0.000 2.016 5.110
Cu 2.016 0.000 1.703
Cu 2.016 0.000 5.110
Os 0.000 0.000 3.407
Os 2.016 2.016 0.000
! DOS(E_F) (states/eV/f.u.): 4.6
! M_tot (μB/f.u.): 0.00
! DFT formation energy (eV/atom): 0.525

---

# 3
! GGA-PBEsol CdCu2Os, relaxed; values from VASP
&SYSTEM
  ibrav = 0, nat = 12, ntyp = 3
/
ATOMIC_SPECIES
Cd 112.41 Cd.upf
Cu 63.55 Cu.upf
Os 190.23 Os.upf
CELL_PARAMETERS angstrom
2.713 0.000 0.000
-1.356 2.349 0.000
0.000 0.000 26.342
ATOMIC_POSITIONS angstrom
Cd 0.000 0.000 0.000
Cd 0.000 1.566 17.561
Cd 1.356 0.783 8.780
Cu 0.000 0.000 6.477
Cu 0.000 0.000 19.864
Cu 0.000 1.566 11.084
Cu 0.000 1.566 24.038
Cu 1.356 0.783 2.303
Cu 1.356 0.783 15.258
Os 0.000 0.000 13.171
Os 0.000 1.566 4.390
Os 1.356 0.783 21.951
! DOS(E_F) (states/eV/f.u.): 2.1
! M_tot (μB/f.u.): 0.00
! DFT formation energy (eV/atom): 0.293